The following is a GGA-PBE calculation of an optimized crystal structure of CdCuSe2, from the Alexandria database.

Cell lengths 3.594, 3.594, 6.817 Å; angles 90.00, 90.00, 90.00 degrees
Fractional positions:
Cd  0.000  0.000  0.000
Cu  0.500  0.500  0.471
Se  0.000  0.000  0.391
Se  0.500  0.500  0.837

Calculated values
Spin magnetization ... 0.0 μB/f.u.
Formation energy (no corrections) ... -0.82 eV/f.u.